1.
A PBEsol-optimized structure of Li4YMn, computed with SCAN.

Cell: 7.638 7.638 7.638 Å, 90.00 90.00 90.00°
Space group F-43m (No. 216)
Inequivalent atoms, fractional coordinates:
Li1 0.123 0.123 0.123 [16 per cell]
Y1 0.000 0.000 0.500 [4 per cell]
Mn1 0.250 0.250 0.750 [4 per cell]

Values from the calculation:
Its crystal system is cubic.

***

2.
A PBEsol-optimized structure of LiMnZn2, computed with SCAN.

Cell: 4.284 4.284 2.822 Å, 90.00 90.00 90.00°
Space group P4/mmm (No. 123)
Inequivalent atoms, fractional coordinates:
Li1 0.000 0.000 0.000 [1 per cell]
Mn1 0.500 0.500 0.000 [1 per cell]
Zn1 0.000 0.500 0.500 [2 per cell]

Values from the calculation:
Its crystal system is tetragonal.

***

3.
A PBEsol-optimized structure of Li2MnZn, computed with SCAN.

Cell: 2.4937 2.4937 27.4954 Å, 90.00 90.00 120.00°
Space group R-3m (No. 166, hexagonal axes)
Inequivalent atoms, fractional coordinates:
Li1 0.0000 0.0000 0.2462 [6 per cell]
Mn1 0.0000 0.0000 0.5000 [3 per cell]
Zn1 0.0000 0.0000 0.0000 [3 per cell]

Values from the calculation:
Its crystal system is trigonal.

***

4.
A PBEsol-optimized structure of LiMnZn2, computed with SCAN.

Cell: 3.030 3.030 5.888 Å, 90.00 90.00 90.00°
Space group P4mm (No. 99)
Inequivalent atoms, fractional coordinates:
Li1 0.000 0.000 0.000 [1 per cell]
Mn1 0.500 0.500 0.259 [1 per cell]
Zn1 0.000 0.000 0.500 [1 per cell]
Zn2 0.500 0.500 0.765 [1 per cell]

Values from the calculation:
Its crystal system is tetragonal.

***

5.
A PBEsol-optimized structure of LiMnZn2, computed with SCAN.

Cell: 5.969 5.969 5.969 Å, 90.00 90.00 90.00°
Space group F-43m (No. 216)
Inequivalent atoms, fractional coordinates:
Li1 0.000 0.000 0.000 [4 per cell]
Mn1 0.250 0.250 0.750 [4 per cell]
Zn1 0.000 0.000 0.500 [4 per cell]
Zn2 0.250 0.250 0.250 [4 per cell]

Values from the calculation:
Its crystal system is cubic.

***

6.
A PBEsol-optimized structure of LiMn2Zn, computed with SCAN.

Cell: 2.762 2.762 6.178 Å, 90.00 90.00 90.00°
Space group P4mm (No. 99)
Inequivalent atoms, fractional coordinates:
Li1 0.000 0.000 0.000 [1 per cell]
Mn1 0.000 0.000 0.458 [1 per cell]
Mn2 0.500 0.500 0.281 [1 per cell]
Zn1 0.500 0.500 0.734 [1 per cell]

Values from the calculation:
Its crystal system is tetragonal.

***

7.
A PBEsol-optimized structure of LiMnZn2, computed with SCAN.

Cell: 2.681 2.681 7.413 Å, 90.00 90.00 90.00°
Space group P4/mmm (No. 123)
Inequivalent atoms, fractional coordinates:
Li1 0.000 0.000 0.000 [1 per cell]
Mn1 0.000 0.000 0.500 [1 per cell]
Zn1 0.500 0.500 0.263 [2 per cell]

Values from the calculation:
Its crystal system is tetragonal.

***

8.
A PBEsol-optimized structure of Li2MnZn, computed with SCAN.

Cell: 5.215 9.287 2.625 Å, 90.00 116.77 90.00°
Space group C2/m (No. 12)
Inequivalent atoms, fractional coordinates:
Li1 0.250 0.250 0.000 [4 per cell]
Mn1 0.000 0.000 0.500 [2 per cell]
Zn1 0.000 0.500 0.500 [2 per cell]

Values from the calculation:
Its crystal system is monoclinic.

***

9.
A PBEsol-optimized structure of LiMnZn2, computed with SCAN.

Cell: 2.579 3.989 5.233 Å, 90.00 90.00 90.00°
Space group Pmm2 (No. 25)
Inequivalent atoms, fractional coordinates:
Li1 0.000 0.000 0.000 [1 per cell]
Mn1 0.500 0.500 0.271 [1 per cell]
Zn1 0.000 0.000 0.493 [1 per cell]
Zn2 0.500 0.500 0.767 [1 per cell]

Values from the calculation:
Its crystal system is orthorhombic.

***

10.
A PBEsol-optimized structure of Li3MnZn, computed with SCAN.

Cell: 4.720 4.720 4.720 Å, 90.00 90.00 90.00°
Space group Pm-3m (No. 221)
Inequivalent atoms, fractional coordinates:
Li1 0.000 0.000 0.500 [3 per cell]
Mn1 0.000 0.000 0.000 [1 per cell]
Zn1 0.500 0.500 0.500 [1 per cell]

Values from the calculation:
Its crystal system is cubic.

***

11.
A PBEsol-optimized structure of LiMn2Zn, computed with SCAN.

Cell: 2.853 3.696 8.398 Å, 90.00 90.00 90.00°
Space group Immm (No. 71)
Inequivalent atoms, fractional coordinates:
Li1 0.000 0.000 0.000 [2 per cell]
Mn1 0.000 0.500 0.249 [4 per cell]
Zn1 0.000 0.000 0.500 [2 per cell]

Values from the calculation:
Its crystal system is orthorhombic.

***

12.
A PBEsol-optimized structure of LiMo, computed with SCAN.

Cell: 2.951 2.951 2.951 Å, 90.00 90.00 90.00°
Space group Pm-3m (No. 221)
Inequivalent atoms, fractional coordinates:
Li1 0.000 0.000 0.000 [1 per cell]
Mo1 0.500 0.500 0.500 [1 per cell]

Values from the calculation:
Its crystal system is cubic.

***

| no. | formation energy from the elements (meV/atom) |
| --- | --- |
| 1 | 103 |
| 2 | -194 |
| 3 | 211 |
| 4 | -69 |
| 5 | -201 |
| 6 | 166 |
| 7 | -157 |
| 8 | -34 |
| 9 | -83 |
| 10 | 699 |
| 11 | 271 |
| 12 | 958 |